## P2Rh (GGA-PBE)

Data for P2Rh after structural relaxation.

a = 3.469 Å, b = 3.469 Å, c = 3.732 Å
α = 90.00°, β = 90.00°, γ = 90.00°
Sites, in units of the cell vectors:
P  0.000  0.500  0.500
P  0.500  0.000  0.500
Rh  0.000  0.000  0.000

E_tot: -6.007 eV per atom
Total moment: 0.0000 μB/atom
ΔE_f: 0.05 eV per atom